A relaxed structure of Li2MnCd, computed with PBE.

Mass density ... 4.368 g cm⁻³
Spin magnetization ... 0.923 μB/atom
Formation energy from the elements ... 2.96 kcal/mol of atoms
D(E_F) ... 0.605 states/eV per atom

CIF file:
```
data_Li2MnCd
_chemical_formula_sum 'Li2 Mn1 Cd1'
_space_group_name_H-M_alt 'P 1 m 1'
_space_group_IT_number 6
_cell_length_a 2.798
_cell_length_b 4.481
_cell_length_c 5.651
_cell_angle_alpha 90.00
_cell_angle_beta 103.53
_cell_angle_gamma 90.00
loop_
_space_group_symop_operation_xyz
'x,y,z'
'x,-y,z'
loop_
_atom_site_label
_atom_site_type_symbol
_atom_site_fract_x
_atom_site_fract_y
_atom_site_fract_z
Li1 Li 0.000 0.000 0.000
Li2 Li 0.342 0.500 0.248
Mn1 Mn 0.859 0.000 0.497
Cd1 Cd 0.447 0.500 0.745
```